A relaxed MgSbS2 crystal. Source: Alexandria via LeMat-Bulk, functional PBE.

The structure belongs to space group R-3m (No. 166, hexagonal axes); the cell edges are 3.7485, 3.7485 and 23.2688 Å and the angles 90.00°, 90.00° and 120.00°. Symmetry generates all atoms from Mg at (0.0000, 0.0000, 0.0000), Sb at (0.0000, 0.0000, 0.5000) and S at (0.0000, 0.0000, 0.3914).

The value obtained for the total energy is -48.20 eV for the cell shown. The value obtained for the density of states at the Fermi level is 0.304 states/eV/atom. For the uncorrected formation energy, the calculation gives -0.524 eV/atom.